1.
An optimized crystal structure of VCu3Rh4. Source: Alexandria via LeMat-Bulk, functional PBE.

Cell lengths 3.962, 3.962, 13.596 Å; angles 90.00, 90.00, 90.00 degrees
Space group I4/mmm (No. 139)
Unique sites:
V (0.000, 0.000, 0.000) (multiplicity 2)
Cu (0.000, 0.000, 0.252) (multiplicity 4)
Cu (0.000, 0.000, 0.500) (multiplicity 2)
Rh (0.000, 0.500, 0.122) (multiplicity 8)

- formation enthalpy at 0 K (eV per atom) = -0.100

=====

2.
An optimized crystal structure of MgReAu2Cl. Source: Alexandria via LeMat-Bulk, functional PBE.

Cell lengths 4.906, 4.906, 5.256 Å; angles 90.00, 90.00, 90.00 degrees
Space group P4/mmm (No. 123)
Unique sites:
Mg (0.000, 0.000, 0.000) (multiplicity 1)
Re (0.000, 0.000, 0.500) (multiplicity 1)
Au (0.000, 0.500, 0.000) (multiplicity 2)
Cl (0.500, 0.500, 0.500) (multiplicity 1)

- formation energy from raw total energies (eV/atom) = 1.373

=====

3.
An optimized crystal structure of Ce4ZnIn. Source: Alexandria via LeMat-Bulk, functional PBE.

Cell lengths 3.074, 6.068, 15.552 Å; angles 90.00, 90.00, 90.00 degrees
Space group Imm2 (No. 44)
Unique sites:
Ce (0.000, 0.000, 0.000) (multiplicity 2)
Ce (0.000, 0.229, 0.183) (multiplicity 4)
Ce (0.000, 0.500, 0.337) (multiplicity 2)
Zn (0.000, 0.500, 0.844) (multiplicity 2)
In (0.000, 0.000, 0.509) (multiplicity 2)

- formation enthalpy at 0 K (eV per atom) = -0.036

=====

4.
An optimized crystal structure of NaAlRu2Se. Source: Alexandria via LeMat-Bulk, functional PBE.

Cell lengths 4.551, 4.551, 5.082 Å; angles 90.00, 90.00, 90.00 degrees
Space group P4/mmm (No. 123)
Unique sites:
Na (0.000, 0.000, 0.000) (multiplicity 1)
Al (0.000, 0.000, 0.500) (multiplicity 1)
Ru (0.000, 0.500, 0.500) (multiplicity 2)
Se (0.500, 0.500, 0.000) (multiplicity 1)

- formation energy from raw total energies (eV/atom) = 0.956

=====

5.
An optimized crystal structure of BaLaHg. Source: Alexandria via LeMat-Bulk, functional PBE.

Cell lengths 7.926, 7.926, 7.926 Å; angles 90.00, 90.00, 90.00 degrees
Space group F-43m (No. 216)
Unique sites:
Ba (0.000, 0.000, 0.000) (multiplicity 4)
La (0.000, 0.000, 0.500) (multiplicity 4)
Hg (0.250, 0.250, 0.750) (multiplicity 4)

- formation enthalpy at 0 K (eV per atom) = -0.082

=====

6.
An optimized crystal structure of TlSnBiCl6. Source: Alexandria via LeMat-Bulk, functional PBE.

Cell lengths 6.939, 6.939, 13.008 Å; angles 90.00, 90.00, 90.00 degrees
Space group P4_2nm (No. 102)
Unique sites:
Tl (0.000, 0.000, 0.000) (multiplicity 2)
Sn (0.000, 0.000, 0.670) (multiplicity 2)
Bi (0.000, 0.000, 0.333) (multiplicity 2)
Cl (0.177, 0.177, 0.500) (multiplicity 4)
Cl (0.207, 0.207, 0.192) (multiplicity 4)
Cl (0.222, 0.222, 0.820) (multiplicity 4)

- formation energy from raw total energies (eV/atom) = -0.998

=====

7.
An optimized crystal structure of KBa2N. Source: Alexandria via LeMat-Bulk, functional PBE.

Cell lengths 4.1203, 4.1203, 11.5891 Å; angles 90.00, 90.00, 120.00 degrees
Space group P-3m1 (No. 164)
Unique sites:
K (0.0000, 0.0000, 0.0000) (multiplicity 1)
Ba (0.3333, 0.6667, 0.3710) (multiplicity 2)
N (0.0000, 0.0000, 0.5000) (multiplicity 1)

- formation energy from raw total energies (eV/atom) = -0.271

=====

8.
An optimized crystal structure of Ba2InSn. Source: Alexandria via LeMat-Bulk, functional PBE.

Cell lengths 5.732, 5.732, 4.687 Å; angles 90.00, 90.00, 90.00 degrees
Space group P4/mmm (No. 123)
Unique sites:
Ba (0.000, 0.500, 0.000) (multiplicity 2)
In (0.000, 0.000, 0.500) (multiplicity 1)
Sn (0.500, 0.500, 0.500) (multiplicity 1)

- formation enthalpy at 0 K (eV per atom) = -0.469

=====

9.
An optimized crystal structure of TlTcSb2. Source: Alexandria via LeMat-Bulk, functional PBE.

Cell lengths 5.137, 3.523, 5.154 Å; angles 90.00, 102.32, 90.00 degrees
Space group P2/m (No. 10)
Unique sites:
Tl (0.000, 0.000, 0.000) (multiplicity 1)
Tc (0.500, 0.500, 0.000) (multiplicity 1)
Sb (0.000, 0.500, 0.500) (multiplicity 1)
Sb (0.500, 0.000, 0.500) (multiplicity 1)

- formation energy from raw total energies (eV/atom) = 0.698

=====

10.
An optimized crystal structure of Re2MoP. Source: Alexandria via LeMat-Bulk, functional PBE.

Cell lengths 3.708, 3.708, 8.393 Å; angles 90.00, 90.00, 90.00 degrees
Space group I-4m2 (No. 119)
Unique sites:
Re (0.000, 0.000, 0.000) (multiplicity 2)
Re (0.000, 0.500, 0.250) (multiplicity 2)
Mo (0.000, 0.500, 0.750) (multiplicity 2)
P (0.000, 0.000, 0.500) (multiplicity 2)

- formation enthalpy at 0 K (eV per atom) = 0.268

=====

11.
An optimized crystal structure of Pr2ZnB2Rh5. Source: Alexandria via LeMat-Bulk, functional PBE.

Cell lengths 9.720, 9.720, 3.245 Å; angles 90.00, 90.00, 90.00 degrees
Space group P4/mbm (No. 127)
Unique sites:
Pr (0.177, 0.323, 0.000) (multiplicity 4)
Zn (0.000, 0.000, 0.000) (multiplicity 2)
B (0.122, 0.622, 0.000) (multiplicity 4)
Rh (0.000, 0.500, 0.500) (multiplicity 2)
Rh (0.069, 0.776, 0.500) (multiplicity 8)

- formation enthalpy at 0 K (eV per atom) = -0.582

=====

12.
An optimized crystal structure of Pm2MnP4Ir3. Source: Alexandria via LeMat-Bulk, functional PBE.

Cell lengths 4.173, 4.173, 9.430 Å; angles 90.00, 90.00, 90.00 degrees
Space group P-4m2 (No. 115)
Unique sites:
Pm (0.000, 0.500, 0.242) (multiplicity 2)
Mn (0.000, 0.000, 0.500) (multiplicity 1)
P (0.000, 0.000, 0.000) (multiplicity 1)
P (0.000, 0.500, 0.625) (multiplicity 2)
P (0.500, 0.500, 0.000) (multiplicity 1)
Ir (0.000, 0.500, 0.883) (multiplicity 2)
Ir (0.500, 0.500, 0.500) (multiplicity 1)

- formation enthalpy at 0 K (eV per atom) = -0.958